No. 1
Entry from the Alexandria database: SiMoAs at its PBEsol-relaxed geometry (SCAN). Values from VASP.

Computed properties:
D(E_F), states/eV/atom: 0.599
VASP energy, eV/atom: -21.686
Uncorrected formation energy, eV/atom: 0.01
Energy relative to the lowest polymorph listed for this composition, meV/atom: 0
Total magnetization, μB/cell: 0.0

Quantum ESPRESSO input file:
```
&SYSTEM
  ibrav = 0, nat = 3, ntyp = 3
/
ATOMIC_SPECIES
Si 28.09 Si.upf
Mo 95.94 Mo.upf
As 74.92 As.upf
ATOMIC_POSITIONS angstrom
Si 0.000 0.000 0.000
Mo 1.534 0.885 1.817
As 0.000 1.771 3.648
CELL_PARAMETERS angstrom
3.067 0.000 0.000
-1.534 2.656 0.000
0.000 0.000 5.683
```



No. 2
Entry from the Alexandria database: Na3VAsCO7 at its PBEsol-relaxed geometry (SCAN). Values from VASP.

Computed properties:
D(E_F), states/eV/atom: 0.014
VASP energy, eV/atom: -9.900
Uncorrected formation energy, eV/atom: -1.90
Total magnetization, μB/cell: 6.0

Quantum ESPRESSO input file:
```
&SYSTEM
  ibrav = 0, nat = 26, ntyp = 5
/
ATOMIC_SPECIES
Na 22.99 Na.upf
V 50.94 V.upf
As 74.92 As.upf
C 12.01 C.upf
O 16.00 O.upf
ATOMIC_POSITIONS angstrom
Na 1.167 1.704 0.742
Na 1.154 3.464 6.663
Na 1.154 6.762 6.663
Na 3.808 0.055 2.398
Na 3.808 3.354 2.398
Na 3.795 5.113 8.320
V 1.078 5.113 3.031
V 3.884 1.704 6.030
As 1.400 1.704 3.780
As 3.562 5.113 5.281
C 1.470 5.113 0.510
C 3.493 1.704 8.552
O 0.283 5.113 1.044
O 0.583 1.704 5.306
O 1.044 0.353 2.739
O 1.044 3.056 2.739
O 1.400 5.113 8.298
O 1.847 5.113 4.964
O 2.476 5.113 1.340
O 2.486 1.704 7.722
O 3.116 1.704 4.098
O 3.563 1.704 0.763
O 3.918 3.762 6.323
O 3.918 6.464 6.323
O 4.380 5.113 3.755
O 4.679 1.704 8.018
CELL_PARAMETERS angstrom
5.201 0.000 0.000
0.000 6.817 0.000
-0.239 0.000 9.062
```



No. 3
Entry from the Alexandria database: SrNbRhSe2 at its PBEsol-relaxed geometry (SCAN). Values from VASP.

Computed properties:
D(E_F), states/eV/atom: 1.422
VASP energy, eV/atom: -25.342
Uncorrected formation energy, eV/atom: 0.52
Total magnetization, μB/cell: 0.8

Quantum ESPRESSO input file:
```
&SYSTEM
  ibrav = 0, nat = 5, ntyp = 4
/
ATOMIC_SPECIES
Sr 87.62 Sr.upf
Nb 92.91 Nb.upf
Rh 102.91 Rh.upf
Se 78.96 Se.upf
ATOMIC_POSITIONS angstrom
Sr 0.000 0.000 0.000
Nb 0.000 0.000 2.917
Rh 2.435 2.435 0.000
Se 0.000 2.435 2.917
Se 2.435 0.000 2.917
CELL_PARAMETERS angstrom
4.870 0.000 0.000
0.000 4.870 0.000
0.000 0.000 5.833
```



No. 4
Entry from the Alexandria database: Te2MoRhI at its PBEsol-relaxed geometry (SCAN). Values from VASP.

Computed properties:
D(E_F), states/eV/atom: 0.791
VASP energy, eV/atom: -34.931
Uncorrected formation energy, eV/atom: 1.05
Total magnetization, μB/cell: 0.5

Quantum ESPRESSO input file:
```
&SYSTEM
  ibrav = 0, nat = 5, ntyp = 4
/
ATOMIC_SPECIES
Te 127.60 Te.upf
Mo 95.94 Mo.upf
Rh 102.91 Rh.upf
I 126.90 I.upf
ATOMIC_POSITIONS angstrom
Te 0.000 2.552 0.000
Te 2.552 0.000 0.000
Mo 0.000 0.000 0.000
Rh 2.552 2.552 2.724
I 0.000 0.000 2.724
CELL_PARAMETERS angstrom
5.104 0.000 0.000
0.000 5.104 0.000
0.000 0.000 5.447
```



No. 5
Entry from the Alexandria database: LiOsRh2 at its PBEsol-relaxed geometry (SCAN). Values from VASP.

Computed properties:
D(E_F), states/eV/atom: 1.360
VASP energy, eV/atom: -35.193
Energy relative to the lowest polymorph listed for this composition, meV/atom: 214
Formation enthalpy at 0 K, meV/atom: 260.2
Total magnetization, μB/cell: 0.0

Quantum ESPRESSO input file:
```
&SYSTEM
  ibrav = 0, nat = 4, ntyp = 3
/
ATOMIC_SPECIES
Li 6.94 Li.upf
Os 190.23 Os.upf
Rh 102.91 Rh.upf
ATOMIC_POSITIONS angstrom
Li 0.000 0.000 0.000
Os 4.449 4.449 4.449
Rh 1.483 1.483 1.483
Rh 2.966 2.966 2.966
CELL_PARAMETERS angstrom
0.000 2.966 2.966
2.966 0.000 2.966
2.966 2.966 0.000
```



No. 6
Entry from the Alexandria database: YTeCl2 at its PBEsol-relaxed geometry (SCAN). Values from VASP.

Computed properties:
D(E_F), states/eV/atom: 0.174
VASP energy, eV/atom: -21.856
Uncorrected formation energy, eV/atom: -1.59
Energy relative to the lowest polymorph listed for this composition, meV/atom: 0
Total magnetization, μB/cell: 0.0

Quantum ESPRESSO input file:
```
&SYSTEM
  ibrav = 0, nat = 4, ntyp = 3
/
ATOMIC_SPECIES
Y 88.91 Y.upf
Te 127.60 Te.upf
Cl 35.45 Cl.upf
ATOMIC_POSITIONS angstrom
Y 0.000 0.000 0.000
Te 0.405 2.302 4.153
Cl -0.320 2.302 1.368
Cl 1.925 0.000 1.756
CELL_PARAMETERS angstrom
4.127 0.000 0.000
0.000 4.605 0.000
-1.814 0.000 5.344
```



No. 7
Entry from the Alexandria database: CsRb2PdF6 at its PBEsol-relaxed geometry (SCAN). Values from VASP.

Computed properties:
D(E_F), states/eV/atom: 0.531
VASP energy, eV/atom: -15.659
Uncorrected formation energy, eV/atom: -2.33
Total magnetization, μB/cell: 1.0

Quantum ESPRESSO input file:
```
&SYSTEM
  ibrav = 0, nat = 10, ntyp = 4
/
ATOMIC_SPECIES
Cs 132.91 Cs.upf
Rb 85.47 Rb.upf
Pd 106.42 Pd.upf
F 19.00 F.upf
ATOMIC_POSITIONS angstrom
Cs 0.000 0.000 0.000
Rb 2.351 2.351 2.351
Rb 7.054 7.054 7.054
Pd 4.703 4.703 4.703
F 4.703 4.703 2.682
F 4.703 2.682 4.703
F 6.723 4.703 4.703
F 2.682 4.703 4.703
F 4.703 6.723 4.703
F 4.703 4.703 6.723
CELL_PARAMETERS angstrom
0.000 4.703 4.703
4.703 0.000 4.703
4.703 4.703 0.000
```



No. 8
Entry from the Alexandria database: BPCl2O at its PBEsol-relaxed geometry (SCAN). Values from VASP.

Computed properties:
D(E_F), states/eV/atom: 0.243
VASP energy, eV/atom: -6.982
Uncorrected formation energy, eV/atom: 1.02
Total magnetization, μB/cell: 0.3

Quantum ESPRESSO input file:
```
&SYSTEM
  ibrav = 0, nat = 5, ntyp = 4
/
ATOMIC_SPECIES
B 10.81 B.upf
P 30.97 P.upf
Cl 35.45 Cl.upf
O 16.00 O.upf
ATOMIC_POSITIONS angstrom
B 0.000 0.000 0.000
P 0.000 0.000 2.207
Cl 0.000 2.007 0.000
Cl 2.007 0.000 0.000
O 2.007 2.007 2.207
CELL_PARAMETERS angstrom
4.013 0.000 0.000
0.000 4.013 0.000
0.000 0.000 4.413
```



No. 9
Entry from the Alexandria database: CsUTiTe5 at its PBEsol-relaxed geometry (SCAN). Values from VASP.

Computed properties:
D(E_F), states/eV/atom: 0.252
VASP energy, eV/atom: -43.798
Uncorrected formation energy, eV/atom: -0.85
Total magnetization, μB/cell: 4.7

Quantum ESPRESSO input file:
```
&SYSTEM
  ibrav = 0, nat = 16, ntyp = 4
/
ATOMIC_SPECIES
Cs 132.91 Cs.upf
U 238.03 U.upf
Ti 47.87 Ti.upf
Te 127.60 Te.upf
ATOMIC_POSITIONS angstrom
Cs 1.508 0.000 2.171
Cs 4.524 0.000 7.918
U 1.508 4.180 6.824
U 4.524 4.180 3.264
Ti 0.000 4.180 0.000
Ti 3.016 4.180 0.000
Te 0.000 2.139 5.044
Te 0.000 6.220 5.044
Te 1.508 2.116 8.996
Te 1.508 4.180 2.333
Te 1.508 6.243 8.996
Te 3.016 2.139 5.044
Te 3.016 6.220 5.044
Te 4.524 2.116 1.093
Te 4.524 4.180 7.756
Te 4.524 6.243 1.093
CELL_PARAMETERS angstrom
6.032 0.000 0.000
0.000 8.359 0.000
0.000 0.000 10.089
```



No. 10
Entry from the Alexandria database: MnPt2Se at its PBEsol-relaxed geometry (SCAN). Values from VASP.

Computed properties:
D(E_F), states/eV/atom: 0.643
VASP energy, eV/atom: -44.867
Uncorrected formation energy, eV/atom: -0.19
Total magnetization, μB/cell: 4.1

Quantum ESPRESSO input file:
```
&SYSTEM
  ibrav = 0, nat = 4, ntyp = 3
/
ATOMIC_SPECIES
Mn 54.94 Mn.upf
Pt 195.08 Pt.upf
Se 78.96 Se.upf
ATOMIC_POSITIONS angstrom
Mn 0.000 0.000 0.000
Pt 1.948 0.000 2.019
Pt 0.000 1.948 2.019
Se 0.000 0.000 4.038
CELL_PARAMETERS angstrom
-1.948 1.948 4.038
1.948 -1.948 4.038
1.948 1.948 -4.038
```



No. 11
Entry from the Alexandria database: LaBi3Au at its PBEsol-relaxed geometry (SCAN). Values from VASP.

Computed properties:
D(E_F), states/eV/atom: 0.679
VASP energy, eV/atom: -68.725
Formation enthalpy at 0 K, meV/atom: 875.6
Total magnetization, μB/cell: 0.0

Quantum ESPRESSO input file:
```
&SYSTEM
  ibrav = 0, nat = 5, ntyp = 3
/
ATOMIC_SPECIES
La 138.91 La.upf
Bi 208.98 Bi.upf
Au 196.97 Au.upf
ATOMIC_POSITIONS angstrom
La 0.000 0.000 0.000
Bi 0.000 0.000 2.999
Bi 0.000 2.999 0.000
Bi 2.999 0.000 0.000
Au 2.999 2.999 2.999
CELL_PARAMETERS angstrom
5.998 0.000 0.000
0.000 5.998 0.000
0.000 0.000 5.998
```



No. 12
Entry from the Alexandria database: TbCoB4 at its PBEsol-relaxed geometry (SCAN). Values from VASP.

Computed properties:
D(E_F), states/eV/atom: 0.317
VASP energy, eV/atom: -16.232
Formation enthalpy at 0 K, meV/atom: -601.7
Total magnetization, μB/cell: 0.0

Quantum ESPRESSO input file:
```
&SYSTEM
  ibrav = 0, nat = 24, ntyp = 3
/
ATOMIC_SPECIES
Tb 158.93 Tb.upf
Co 58.93 Co.upf
B 10.81 B.upf
ATOMIC_POSITIONS angstrom
Tb 0.750 1.705 0.000
Tb 2.186 7.392 0.000
Tb 3.686 3.983 0.000
Tb 5.123 9.671 0.000
Co 0.786 4.677 0.000
Co 2.150 10.365 0.000
Co 3.722 1.011 0.000
Co 5.087 6.699 0.000
B 0.135 7.855 1.671
B 0.652 6.210 1.671
B 0.818 11.002 1.671
B 1.283 9.279 1.671
B 1.653 3.591 1.671
B 2.118 5.314 1.671
B 2.284 0.522 1.671
B 2.801 2.167 1.671
B 3.071 9.209 1.671
B 3.588 10.854 1.671
B 3.754 6.061 1.671
B 4.219 7.785 1.671
B 4.589 2.097 1.671
B 5.054 0.374 1.671
B 5.220 5.166 1.671
B 5.737 3.521 1.671
CELL_PARAMETERS angstrom
5.872 0.000 0.000
0.000 11.376 0.000
0.000 0.000 3.342
```



> What is the D(E_F) in the twelfth record?

0.317 states/eV/atom



> D(E_F) of number 3 (SrNbRhSe2)?

1.422 states/eV/atom



> What is the total magnetization in the first record?

0.0 μB/cell